1.
The following is a PBE calculation of crystalline TmAl6Ag12 at its relaxed geometry, from Alexandria.

The space group is R-3m (No. 166, hexagonal axes) and the conventional cell measures 11.9353, 11.9353 and 8.8048 Å, with angles of 90.00, 90.00 and 120.00 degrees. Symmetry generates all atoms from Tm at (0.0000, 0.0000, 0.0000), Al at (0.0607, 0.5303, 0.2420), Ag at (0.0000, 0.3829, 0.5000) and Ag at (0.0821, 0.1641, 0.2899).

For the formation energy from the elements, the calculation gives 19.1 kJ/mol of formula units.

***

2.
The following is a PBE calculation of crystalline Tm12Al5Ag2 at its relaxed geometry, from Alexandria.

The space group is C2/m (No. 12) and the conventional cell measures 14.782, 8.264 and 8.203 Å, with angles of 90.00, 91.40 and 90.00 degrees. Symmetry generates all atoms from Tm at (0.036, 0.000, 0.203), Tm at (0.059, 0.500, 0.660), Tm at (0.142, 0.223, 0.918), Tm at (0.171, 0.302, 0.347), Al at (0.000, 0.500, 0.000), Al at (0.151, 0.000, 0.584), Al at (0.243, 0.000, 0.197) and Ag at (0.000, 0.188, 0.500).

For the formation energy from the elements, the calculation gives -134.6 kJ/mol of formula units.

***

3.
The following is a PBE calculation of crystalline Tm6AlAg2 at its relaxed geometry, from Alexandria.

The space group is Immm (No. 71) and the conventional cell measures 9.549, 9.864 and 9.964 Å, with angles of 90.00, 90.00 and 90.00 degrees. Symmetry generates all atoms from Tm at (0.000, 0.225, 0.175), Tm at (0.179, 0.232, 0.500), Tm at (0.199, 0.500, 0.254), Al at (0.000, 0.500, 0.000), Al at (0.000, 0.500, 0.500), Ag at (0.000, 0.000, 0.364) and Ag at (0.148, 0.000, 0.000).

For the formation energy from the elements, the calculation gives -176.8 kJ/mol of formula units.

***

4.
The following is a PBE calculation of crystalline Tm5Al4Ag at its relaxed geometry, from Alexandria.

The space group is P4/mmm (No. 123) and the conventional cell measures 3.528, 3.528 and 18.119 Å, with angles of 90.00, 90.00 and 90.00 degrees. Symmetry generates all atoms from Tm at (0.000, 0.000, 0.000), Tm at (0.000, 0.000, 0.197), Tm at (0.000, 0.000, 0.397), Al at (0.500, 0.500, 0.098), Al at (0.500, 0.500, 0.298) and Ag at (0.500, 0.500, 0.500).

For the formation energy from the elements, the calculation gives -362.7 kJ/mol of formula units.

***

5.
The following is a PBE calculation of crystalline TmAl2Ag at its relaxed geometry, from Alexandria.

The space group is R-3m (No. 166, hexagonal axes) and the conventional cell measures 4.3732, 4.3732 and 15.0216 Å, with angles of 90.00, 90.00 and 120.00 degrees. Symmetry generates all atoms from Tm at (0.0000, 0.0000, 0.0000), Al at (0.0000, 0.0000, 0.2154) and Ag at (0.0000, 0.0000, 0.5000).

For the formation energy from the elements, the calculation gives -96.3 kJ/mol of formula units.

***

6.
The following is a PBE calculation of crystalline TmAl3Ag3 at its relaxed geometry, from Alexandria.

The space group is Fm-3m (No. 225) and the conventional cell measures 12.369, 12.369 and 12.369 Å, with angles of 90.00, 90.00 and 90.00 degrees. Symmetry generates all atoms from Tm at (0.250, 0.250, 0.250), Al at (0.000, 0.000, 0.150) and Ag at (0.000, 0.000, 0.342).

For the formation energy from the elements, the calculation gives 536.7 kJ/mol of formula units. As for the offset from the most stable computed form: 885.3 meV/atom.

***

7.
The following is a PBE calculation of crystalline TmAlAg4 at its relaxed geometry, from Alexandria.

The space group is F-43m (No. 216) and the conventional cell measures 7.795, 7.795 and 7.795 Å, with angles of 90.00, 90.00 and 90.00 degrees. Symmetry generates all atoms from Tm at (0.000, 0.000, 0.000), Al at (0.250, 0.250, 0.250) and Ag at (0.125, 0.125, 0.625).

For the formation energy from the elements, the calculation gives -74.9 kJ/mol of formula units. As for the offset from the most stable computed form: 0.0 meV/atom.

***

8.
The following is a PBE calculation of crystalline YTmAl2Ag5 at its relaxed geometry, from Alexandria.

The space group is P4/mmm (No. 123) and the conventional cell measures 4.560, 4.560 and 8.872 Å, with angles of 90.00, 90.00 and 90.00 degrees. Symmetry generates all atoms from Y at (0.000, 0.000, 0.000), Tm at (0.000, 0.000, 0.500), Al at (0.500, 0.500, 0.358), Ag at (0.000, 0.500, 0.226) and Ag at (0.500, 0.500, 0.000).

For the formation energy from the elements, the calculation gives -156.5 kJ/mol of formula units.

***

| no. | volume (Å³/cell) |
| --- | --- |
| 1 | 1086.2 |
| 2 | 1001.8 |
| 3 | 938.5 |
| 4 | 225.5 |
| 5 | 248.8 |
| 6 | 1892.5 |
| 7 | 473.7 |
| 8 | 184.5 |